# Cd3Ga3N5

A geometry-optimized Cd3Ga3N5 structure (PBE-GGA, the Alexandria database).

The magnetization comes out at 0.00 μB per formula unit. The calculation puts the total energy at -4.6935 eV per atom. As for the formation energy without anion corrections: 0.17 eV/atom.

abc: 5.8559 7.0269 8.7084
angles: 107.36 105.01 100.28
Atoms (fractional coordinates):
Cd (0.7149, 0.4368, 0.6087)
Cd (0.2851, 0.5632, 0.3913)
Cd (0.6569, 0.8249, 0.9660)
Cd (0.3431, 0.1751, 0.0340)
Cd (0.7346, 0.6090, 0.2426)
Cd (0.2654, 0.3910, 0.7574)
Ga (0.8978, 0.3036, 0.9713)
Ga (0.1022, 0.6964, 0.0287)
Ga (0.7045, 0.9604, 0.5935)
Ga (0.2955, 0.0396, 0.4065)
Ga (0.1290, 0.8472, 0.6874)
Ga (0.8710, 0.1528, 0.3126)
N (0.0028, 0.1158, 0.7984)
N (0.9972, 0.8842, 0.2016)
N (0.7982, 0.7014, 0.5232)
N (0.2018, 0.2986, 0.4768)
N (0.7486, 0.4970, 0.8812)
N (0.2514, 0.5030, 0.1188)
N (0.3548, 0.8996, 0.5720)
N (0.6452, 0.1004, 0.4280)
N (0.2586, 0.7571, 0.8726)
N (0.7414, 0.2429, 0.1274)